First-principles (GGA-PBE) data for a geometry-optimized RbYCr2Tc structure, as listed in Alexandria via LeMat-Bulk.

Results
Density of states at the Fermi level ... 4.456 states/eV/f.u.
Calculated formation energy ... 2459 meV per atom
Crystal system ... tetragonal
E_tot ... -24.7 eV/cell
Size of the total moment ... 10.73 μB/cell

```
data_RbYCr2Tc
_cell_length_a 5.109
_cell_length_b 5.109
_cell_length_c 5.780
_cell_angle_alpha 90.00
_cell_angle_beta 90.00
_cell_angle_gamma 90.00
_symmetry_space_group_name_H-M 'P 4/m m m'
_symmetry_Int_Tables_number 123
_symmetry_space_group_name_Hall '-P 4 2'
loop_
_atom_site_label
_atom_site_fract_x
_atom_site_fract_y
_atom_site_fract_z
Rb1 0.000 0.000 0.000
Y1 0.000 0.000 0.500
Cr1 0.000 0.500 0.500
Tc1 0.500 0.500 0.000
```

---

First-principles (GGA-PBE) data for a geometry-optimized RbCrTe2 structure, as listed in Alexandria via LeMat-Bulk.

Results
E_form (uncorrected) ... -0.43 eV/atom
Density of states at the Fermi level ... 0.348 states/eV/f.u.
Crystal system ... tetragonal
E_tot ... -74.3 eV/cell
Size of the total moment ... 12.00 μB/cell

```
data_RbCrTe2
_cell_length_a 8.222
_cell_length_b 8.222
_cell_length_c 8.869
_cell_angle_alpha 90.00
_cell_angle_beta 90.00
_cell_angle_gamma 90.00
_symmetry_space_group_name_H-M 'I -4 2 d'
_symmetry_Int_Tables_number 122
_symmetry_space_group_name_Hall 'I -4 2bw'
loop_
_atom_site_label
_atom_site_fract_x
_atom_site_fract_y
_atom_site_fract_z
Rb1 0.000 0.000 0.000
Cr1 0.000 0.000 0.500
Te1 0.144 0.250 0.625
```

---

First-principles (GGA-PBE) data for a geometry-optimized Rb3CrTe structure, as listed in Alexandria via LeMat-Bulk.

Results
E_form (uncorrected) ... 0.08 eV/atom
Density of states at the Fermi level ... 0.000 states/eV/f.u.
Crystal system ... cubic
E_tot ... -15.3 eV/cell
Size of the total moment ... 5.00 μB/cell

```
data_Rb3CrTe
_cell_length_a 6.990
_cell_length_b 6.990
_cell_length_c 6.990
_cell_angle_alpha 90.00
_cell_angle_beta 90.00
_cell_angle_gamma 90.00
_symmetry_space_group_name_H-M 'P m -3 m'
_symmetry_Int_Tables_number 221
_symmetry_space_group_name_Hall '-P 4 2 3'
loop_
_atom_site_label
_atom_site_fract_x
_atom_site_fract_y
_atom_site_fract_z
Rb1 0.000 0.000 0.500
Cr1 0.500 0.500 0.500
Te1 0.000 0.000 0.000
```

---

First-principles (GGA-PBE) data for a geometry-optimized RbCrTe4 structure, as listed in Alexandria via LeMat-Bulk.

Results
E_form (uncorrected) ... -0.25 eV/atom
Density of states at the Fermi level ... 0.308 states/eV/f.u.
Crystal system ... monoclinic
E_tot ... -98.7 eV/cell
Size of the total moment ... 11.98 μB/cell

```
data_RbCrTe4
_cell_length_a 15.285
_cell_length_b 9.159
_cell_length_c 6.644
_cell_angle_alpha 90.00
_cell_angle_beta 91.20
_cell_angle_gamma 90.00
_symmetry_space_group_name_H-M 'C 1 2/m 1'
_symmetry_Int_Tables_number 12
loop_
_symmetry_equiv_pos_as_xyz
'x,y,z'
'-x,-y,-z'
'-x,y,-z'
'x,-y,z'
'x+1/2,y+1/2,z'
'-x+1/2,-y+1/2,-z'
'-x+1/2,y+1/2,-z'
'x+1/2,-y+1/2,z'
loop_
_atom_site_label
_atom_site_fract_x
_atom_site_fract_y
_atom_site_fract_z
Rb1 0.167 0.000 0.285
Cr1 0.004 0.500 0.761
Te1 0.000 0.268 0.500
Te2 0.125 0.302 0.882
Te3 0.172 0.500 0.209
```

---

First-principles (GGA-PBE) data for a geometry-optimized RbCr2Te4 structure, as listed in Alexandria via LeMat-Bulk.

Results
E_form (uncorrected) ... -0.26 eV/atom
Density of states at the Fermi level ... 4.369 states/eV/f.u.
Crystal system ... orthorhombic
E_tot ... -138.4 eV/cell
Size of the total moment ... 21.70 μB/cell

```
data_RbCr2Te4
_cell_length_a 4.019
_cell_length_b 13.870
_cell_length_c 14.545
_cell_angle_alpha 90.00
_cell_angle_beta 90.00
_cell_angle_gamma 90.00
_symmetry_space_group_name_H-M 'C m c m'
_symmetry_Int_Tables_number 63
_symmetry_space_group_name_Hall '-C 2c 2'
loop_
_atom_site_label
_atom_site_fract_x
_atom_site_fract_y
_atom_site_fract_z
Rb1 0.000 0.104 0.250
Cr1 0.000 0.366 0.063
Te1 0.000 0.000 0.000
Te2 0.000 0.260 0.596
Te3 0.000 0.399 0.250
```

---

First-principles (GGA-PBE) data for a geometry-optimized Rb2CrTe2 structure, as listed in Alexandria via LeMat-Bulk.

Results
E_form (uncorrected) ... 0.20 eV/atom
Density of states at the Fermi level ... 1.638 states/eV/f.u.
Crystal system ... tetragonal
E_tot ... -33.7 eV/cell
Size of the total moment ... 10.29 μB/cell

```
data_Rb2CrTe2
_cell_length_a 4.548
_cell_length_b 4.548
_cell_length_c 21.492
_cell_angle_alpha 90.00
_cell_angle_beta 90.00
_cell_angle_gamma 90.00
_symmetry_space_group_name_H-M 'I 4/m m m'
_symmetry_Int_Tables_number 139
_symmetry_space_group_name_Hall '-I 4 2'
loop_
_atom_site_label
_atom_site_fract_x
_atom_site_fract_y
_atom_site_fract_z
Rb1 0.000 0.000 0.114
Cr1 0.000 0.000 0.500
Te1 0.000 0.500 0.250
```

---

First-principles (GGA-PBE) data for a geometry-optimized RbCrTe2 structure, as listed in Alexandria via LeMat-Bulk.

Results
E_form (uncorrected) ... -0.53 eV/atom
Density of states at the Fermi level ... 0.004 states/eV/f.u.
Crystal system ... trigonal
E_tot ... -57.0 eV/cell
Size of the total moment ... 9.00 μB/cell

```
data_RbCrTe2
_cell_length_a 4.1839
_cell_length_b 4.1839
_cell_length_c 24.8822
_cell_angle_alpha 90.00
_cell_angle_beta 90.00
_cell_angle_gamma 120.00
_symmetry_space_group_name_H-M 'R 3 m'
_symmetry_Int_Tables_number 160
_symmetry_space_group_name_Hall 'R 3 -2"'
loop_
_atom_site_label
_atom_site_fract_x
_atom_site_fract_y
_atom_site_fract_z
Rb1 0.0000 0.0000 0.0000
Cr1 0.0000 0.0000 0.1677
Te1 0.0000 0.0000 0.5576
Te2 0.0000 0.0000 0.7774
```

---

First-principles (GGA-PBE) data for a geometry-optimized RbCr2Te4 structure, as listed in Alexandria via LeMat-Bulk.

Results
E_form (uncorrected) ... -0.36 eV/atom
Density of states at the Fermi level ... 3.458 states/eV/f.u.
Crystal system ... trigonal
E_tot ... -105.9 eV/cell
Size of the total moment ... 16.43 μB/cell

```
data_RbCr2Te4
_cell_length_a 4.0315
_cell_length_b 4.0315
_cell_length_c 43.3518
_cell_angle_alpha 90.00
_cell_angle_beta 90.00
_cell_angle_gamma 120.00
_symmetry_space_group_name_H-M 'R -3 m'
_symmetry_Int_Tables_number 166
_symmetry_space_group_name_Hall '-R 3 2"'
loop_
_atom_site_label
_atom_site_fract_x
_atom_site_fract_y
_atom_site_fract_z
Rb1 0.0000 0.0000 0.0000
Cr1 0.0000 0.0000 0.4316
Te1 0.0000 0.0000 0.1316
Te2 0.0000 0.0000 0.2692
```